No. 1
This record from the Alexandria database describes crystalline Li2Ge2Pd5 at its relaxed geometry. The functional is PBE.

Cell lengths 15.402, 4.687, 7.282 Å; angles 90.00, 90.00, 90.00 degrees
Space group Ima2 (No. 46)
Asymmetric unit:
Li (0.082, 0.065, 0.000) x8
Ge (0.000, 0.000, 0.340) x4
Ge (0.250, 0.054, 0.629) x4
Pd (0.084, 0.594, 0.158) x8
Pd (0.162, 0.066, 0.318) x8
Pd (0.250, 0.569, 0.470) x4

Calculated values
D(E_F) = 17.619 states/eV/cell
E_form = -0.4876 eV per atom
calculated volume = 526 Å³ per cell
M_tot = 0.00 μB/f.u.



No. 2
This record from the Alexandria database describes crystalline Sr2Li5Zn5 at its relaxed geometry. The functional is PBE.

Cell lengths 4.458, 5.521, 10.085 Å; angles 90.00, 90.00, 90.00 degrees
Space group Pmmm (No. 47)
Asymmetric unit:
Sr (0.000, 0.000, 0.000) x1
Sr (0.000, 0.500, 0.500) x1
Li (0.000, 0.000, 0.318) x2
Li (0.000, 0.500, 0.169) x2
Li (0.500, 0.000, 0.500) x1
Zn (0.500, 0.250, 0.246) x4
Zn (0.500, 0.500, 0.000) x1

Calculated values
D(E_F) = 5.990 states/eV/cell
E_form = -0.1417 eV per atom
calculated volume = 248 Å³ per cell
M_tot = 0.00 μB/f.u.



No. 3
This record from the Alexandria database describes crystalline Ac2TmPb3 at its relaxed geometry. The functional is PBE.

Cell lengths 5.989, 7.537, 8.896 Å; angles 90.00, 100.47, 90.00 degrees
Space group P2/m (No. 10)
Asymmetric unit:
Ac (0.000, 0.000, 0.000) x1
Ac (0.000, 0.500, 0.000) x1
Ac (0.360, 0.000, 0.679) x2
Tm (0.365, 0.500, 0.671) x2
Pb (0.147, 0.273, 0.354) x4
Pb (0.500, 0.269, 0.000) x2

Calculated values
D(E_F) = 8.637 states/eV/cell
E_form = -0.4395 eV per atom
E above lowest polymorph = 0 meV per atom
calculated volume = 395 Å³ per cell
M_tot = 0.00 μB/f.u.